Entry 1:
# LiCe5Tl5 (PBE-GGA, relaxed)
data_LiCe5Tl5
_chemical_formula_sum 'Li2 Ce10 Tl10'
_symmetry_space_group_name_H-M 'C 1 2/m 1'
_symmetry_Int_Tables_number 12
_cell_length_a 17.662
_cell_length_b 5.559
_cell_length_c 7.225
_cell_angle_alpha 90.00
_cell_angle_beta 113.70
_cell_angle_gamma 90.00
loop_
_symmetry_equiv_pos_as_xyz
'x,y,z'
'-x,-y,-z'
'-x,y,-z'
'x,-y,z'
'x+1/2,y+1/2,z'
'-x+1/2,-y+1/2,-z'
'-x+1/2,y+1/2,-z'
'x+1/2,-y+1/2,z'
loop_
_atom_site_label
_atom_site_type_symbol
_atom_site_fract_x
_atom_site_fract_y
_atom_site_fract_z
Li1 Li 0.000 0.000 0.000
Ce1 Ce 0.000 0.000 0.500
Ce2 Ce 0.126 0.500 0.631
Ce3 Ce 0.200 0.500 0.202
Tl1 Tl 0.000 0.500 0.000
Tl2 Tl 0.153 0.000 0.938
Tl3 Tl 0.154 0.000 0.370
# * E_tot: -3.995 eV per atom
# * total moment: 14.467 Bohr magnetons per cell
# * volume: 29.5 Å³/atom

=====

Entry 2:
# LiCe2Tl2 (PBE-GGA, relaxed)
data_LiCe2Tl2
_chemical_formula_sum 'Li2 Ce4 Tl4'
_symmetry_space_group_name_H-M 'C 1 2/m 1'
_symmetry_Int_Tables_number 12
_cell_length_a 10.874
_cell_length_b 3.792
_cell_length_c 7.914
_cell_angle_alpha 90.00
_cell_angle_beta 129.40
_cell_angle_gamma 90.00
loop_
_symmetry_equiv_pos_as_xyz
'x,y,z'
'-x,-y,-z'
'-x,y,-z'
'x,-y,z'
'x+1/2,y+1/2,z'
'-x+1/2,-y+1/2,-z'
'-x+1/2,y+1/2,-z'
'x+1/2,-y+1/2,z'
loop_
_atom_site_label
_atom_site_type_symbol
_atom_site_fract_x
_atom_site_fract_y
_atom_site_fract_z
Li1 Li 0.000 0.000 0.000
Ce1 Ce 0.208 0.000 0.580
Tl1 Tl 0.101 0.500 0.825
# * E_tot: -3.833 eV per atom
# * total moment: 2.561 Bohr magnetons per cell
# * volume: 25.2 Å³/atom

=====

Entry 3:
# LiCe2Tl6 (PBE-GGA, relaxed)
data_LiCe2Tl6
_chemical_formula_sum 'Li1 Ce2 Tl6'
_symmetry_space_group_name_H-M 'P 1 2/m 1'
_symmetry_Int_Tables_number 10
_cell_length_a 8.690
_cell_length_b 3.536
_cell_length_c 9.409
_cell_angle_alpha 90.00
_cell_angle_beta 117.36
_cell_angle_gamma 90.00
loop_
_symmetry_equiv_pos_as_xyz
'x,y,z'
'-x,-y,-z'
'-x,y,-z'
'x,-y,z'
loop_
_atom_site_label
_atom_site_type_symbol
_atom_site_fract_x
_atom_site_fract_y
_atom_site_fract_z
Li1 Li 0.000 0.000 0.000
Ce1 Ce 0.306 0.500 0.612
Tl1 Tl 0.027 0.000 0.692
Tl2 Tl 0.316 0.500 0.999
Tl3 Tl 0.335 0.000 0.308
# * E_tot: -3.185 eV per atom
# * total moment: 2.342 Bohr magnetons per cell
# * volume: 28.5 Å³/atom

=====

Entry 4:
# LiCeTl (PBE-GGA, relaxed)
data_LiCeTl
_chemical_formula_sum 'Li2 Ce2 Tl2'
_symmetry_space_group_name_H-M 'I m m 2'
_symmetry_Int_Tables_number 44
_cell_length_a 3.268
_cell_length_b 4.950
_cell_length_c 9.501
_cell_angle_alpha 90.00
_cell_angle_beta 90.00
_cell_angle_gamma 90.00
loop_
_symmetry_equiv_pos_as_xyz
'x,y,z'
'-x,-y,z'
'-x,y,z'
'x,-y,z'
'x+1/2,y+1/2,z+1/2'
'-x+1/2,-y+1/2,z+1/2'
'-x+1/2,y+1/2,z+1/2'
'x+1/2,-y+1/2,z+1/2'
loop_
_atom_site_label
_atom_site_type_symbol
_atom_site_fract_x
_atom_site_fract_y
_atom_site_fract_z
Li1 Li 0.000 0.000 0.000
Ce1 Ce 0.000 0.000 0.675
Tl1 Tl 0.000 0.000 0.335
# * E_tot: -3.458 eV per atom
# * total moment: 2.616 Bohr magnetons per cell
# * volume: 25.6 Å³/atom

=====

Entry 5:
# LiCeTl (PBE-GGA, relaxed)
data_LiCeTl
_chemical_formula_sum 'Li2 Ce2 Tl2'
_symmetry_space_group_name_H-M 'I 4 m m'
_symmetry_Int_Tables_number 107
_symmetry_space_group_name_Hall 'I 4 -2'
_cell_length_a 3.335
_cell_length_b 3.335
_cell_length_c 12.905
_cell_angle_alpha 90.00
_cell_angle_beta 90.00
_cell_angle_gamma 90.00
loop_
_atom_site_label
_atom_site_type_symbol
_atom_site_fract_x
_atom_site_fract_y
_atom_site_fract_z
Li1 Li 0.000 0.000 0.000
Ce1 Ce 0.000 0.000 0.313
Tl1 Tl 0.000 0.000 0.622
# * E_tot: -3.469 eV per atom
# * total moment: 1.296 Bohr magnetons per cell
# * volume: 23.9 Å³/atom

=====

Entry 6:
# Li3Ce2Tl3 (PBE-GGA, relaxed)
data_Li3Ce2Tl3
_chemical_formula_sum 'Li6 Ce4 Tl6'
_symmetry_space_group_name_H-M 'P 63/m c m'
_symmetry_Int_Tables_number 193
_symmetry_space_group_name_Hall '-P 6c 2'
_cell_length_a 9.0208
_cell_length_b 9.0208
_cell_length_c 6.0503
_cell_angle_alpha 90.00
_cell_angle_beta 90.00
_cell_angle_gamma 120.00
loop_
_atom_site_label
_atom_site_type_symbol
_atom_site_fract_x
_atom_site_fract_y
_atom_site_fract_z
Li1 Li 0.0000 0.2825 0.2500
Ce1 Ce 0.3333 0.6667 0.0000
Tl1 Tl 0.0000 0.3569 0.7500
# * E_tot: -3.227 eV per atom
# * total moment: 4.198 Bohr magnetons per cell
# * volume: 26.6 Å³/atom

=====

Entry 7:
# LiCeTl (PBE-GGA, relaxed)
data_LiCeTl
_chemical_formula_sum 'Li1 Ce1 Tl1'
_symmetry_space_group_name_H-M 'P -6 m 2'
_symmetry_Int_Tables_number 187
_symmetry_space_group_name_Hall 'P -6 2'
_cell_length_a 5.0864
_cell_length_b 5.0864
_cell_length_c 3.3452
_cell_angle_alpha 90.00
_cell_angle_beta 90.00
_cell_angle_gamma 120.00
loop_
_atom_site_label
_atom_site_type_symbol
_atom_site_fract_x
_atom_site_fract_y
_atom_site_fract_z
Li1 Li 0.0000 0.0000 0.0000
Ce1 Ce 0.6667 0.3333 0.5000
Tl1 Tl 0.3333 0.6667 0.0000
# * E_tot: -3.583 eV per atom
# * total moment: 1.285 Bohr magnetons per cell
# * volume: 25.0 Å³/atom

=====

Entry 8:
# LiCeTl5 (PBE-GGA, relaxed)
data_LiCeTl5
_chemical_formula_sum 'Li1 Ce1 Tl5'
_symmetry_space_group_name_H-M 'P 4/m m m'
_symmetry_Int_Tables_number 123
_symmetry_space_group_name_Hall '-P 4 2'
_cell_length_a 4.911
_cell_length_b 4.911
_cell_length_c 7.892
_cell_angle_alpha 90.00
_cell_angle_beta 90.00
_cell_angle_gamma 90.00
loop_
_atom_site_label
_atom_site_type_symbol
_atom_site_fract_x
_atom_site_fract_y
_atom_site_fract_z
Li1 Li 0.000 0.000 0.000
Ce1 Ce 0.000 0.000 0.500
Tl1 Tl 0.000 0.500 0.204
Tl2 Tl 0.500 0.500 0.500
# * E_tot: -2.975 eV per atom
# * total moment: 1.054 Bohr magnetons per cell
# * volume: 27.2 Å³/atom

=====

Table of formation energy (kcal/mol of atoms), in record order: -1.11; -2.99; -1.76; -1.22; -1.49; -3.19; -4.11; -3.78